(1)
Below is a relaxed structure of CaPmH8Rh2, with properties calculated at the PBE-GGA level.

a b c (Å): 9.259 9.259 9.259
angles (deg): 25.72 25.72 25.72
Atoms (fractional coordinates):
Ca 0.000 0.000 0.000
Pm 0.500 0.500 0.500
H 0.025 0.025 0.590
H 0.025 0.590 0.025
H 0.312 0.312 0.312
H 0.410 0.975 0.975
H 0.590 0.025 0.025
H 0.688 0.688 0.688
H 0.975 0.410 0.975
H 0.975 0.975 0.410
Rh 0.246 0.246 0.246
Rh 0.754 0.754 0.754

Calculated values
Its total DFT energy (no corrections) is -50.89 eV for the cell shown. For the density of states at the Fermi level, the calculation gives 2.09 states/eV/cell.


(2)
Below is a relaxed structure of CaPmH6Rh2, with properties calculated at the PBE-GGA level.

a b c (Å): 5.910 5.910 5.910
angles (deg): 48.88 48.88 48.88
Atoms (fractional coordinates):
Ca 0.000 0.000 0.000
Pm 0.500 0.500 0.500
H 0.072 0.072 0.528
H 0.072 0.528 0.072
H 0.472 0.928 0.928
H 0.528 0.072 0.072
H 0.928 0.472 0.928
H 0.928 0.928 0.472
Rh 0.290 0.290 0.290
Rh 0.710 0.710 0.710

Calculated values
Its total DFT energy (no corrections) is -45.20 eV for the cell shown. For the density of states at the Fermi level, the calculation gives 3.51 states/eV/cell.


(3)
Below is a relaxed structure of Ca2PmH8Ru, with properties calculated at the PBE-GGA level.

a b c (Å): 4.871 4.871 6.543
angles (deg): 90.00 90.00 120.00
Atoms (fractional coordinates):
Ca 0.333 0.667 0.350
Ca 0.667 0.333 0.650
Pm 0.000 0.000 0.000
H 0.159 0.319 0.666
H 0.159 0.841 0.666
H 0.319 0.159 0.334
H 0.333 0.667 0.011
H 0.667 0.333 0.989
H 0.681 0.841 0.666
H 0.841 0.159 0.334
H 0.841 0.681 0.334
Ru 0.000 0.000 0.500

Calculated values
Its total DFT energy (no corrections) is -50.19 eV for the cell shown. For the density of states at the Fermi level, the calculation gives 2.84 states/eV/cell.


(4)
Below is a relaxed structure of Ca3PrH8, with properties calculated at the PBE-GGA level.

a b c (Å): 5.436 5.436 5.436
angles (deg): 90.00 90.00 90.00
Atoms (fractional coordinates):
Ca 0.000 0.000 0.500
Ca 0.000 0.500 0.000
Ca 0.500 0.000 0.000
Pr 0.500 0.500 0.500
H 0.249 0.249 0.249
H 0.249 0.249 0.751
H 0.249 0.751 0.249
H 0.249 0.751 0.751
H 0.751 0.249 0.249
H 0.751 0.249 0.751
H 0.751 0.751 0.249
H 0.751 0.751 0.751

Calculated values
Its total DFT energy (no corrections) is -44.40 eV for the cell shown. For the density of states at the Fermi level, the calculation gives 1.32 states/eV/cell.


(5)
Below is a relaxed structure of Ca2PrH, with properties calculated at the PBE-GGA level.

a b c (Å): 3.609 3.609 30.028
angles (deg): 90.00 90.00 120.00
Atoms (fractional coordinates):
Ca 0.000 0.000 0.117
Ca 0.000 0.000 0.883
Ca 0.333 0.667 0.549
Ca 0.333 0.667 0.784
Ca 0.667 0.333 0.216
Ca 0.667 0.333 0.451
Pr 0.000 0.000 0.000
Pr 0.333 0.667 0.667
Pr 0.667 0.333 0.333
H 0.000 0.000 0.500
H 0.333 0.667 0.167
H 0.667 0.333 0.833

Calculated values
As for the offset from the most stable computed form: 126.6 meV per atom. Its total DFT energy (no corrections) is -36.21 eV for the cell shown. For the density of states at the Fermi level, the calculation gives 12.22 states/eV/cell.


(6)
Below is a relaxed structure of Ca2PrH, with properties calculated at the PBE-GGA level.

a b c (Å): 3.690 3.690 28.075
angles (deg): 90.00 90.00 120.00
Atoms (fractional coordinates):
Ca 0.000 0.000 0.000
Ca 0.000 0.000 0.224
Ca 0.333 0.667 0.667
Ca 0.333 0.667 0.891
Ca 0.667 0.333 0.333
Ca 0.667 0.333 0.558
Pr 0.000 0.000 0.780
Pr 0.333 0.667 0.446
Pr 0.667 0.333 0.113
H 0.000 0.000 0.614
H 0.333 0.667 0.281
H 0.667 0.333 0.947

Calculated values
As for the offset from the most stable computed form: 0.0 meV per atom. Its total DFT energy (no corrections) is -37.73 eV for the cell shown. For the density of states at the Fermi level, the calculation gives 10.02 states/eV/cell.


(7)
Below is a relaxed structure of CaPr2H8, with properties calculated at the PBE-GGA level.

a b c (Å): 6.696 6.696 6.696
angles (deg): 145.95 133.55 58.84
Atoms (fractional coordinates):
Ca 0.000 0.000 0.000
Pr 0.324 0.324 0.000
Pr 0.676 0.676 0.000
H 0.116 0.849 0.267
H 0.185 0.685 0.500
H 0.269 0.500 0.769
H 0.418 0.151 0.267
H 0.582 0.849 0.733
H 0.731 0.500 0.231
H 0.815 0.315 0.500
H 0.884 0.151 0.733

Calculated values
Its total DFT energy (no corrections) is -44.55 eV for the cell shown.


(8)
Below is a relaxed structure of Ca3PrH, with properties calculated at the PBE-GGA level.

a b c (Å): 5.332 5.332 5.332
angles (deg): 90.00 90.00 90.00
Atoms (fractional coordinates):
Ca 0.000 0.000 0.500
Ca 0.000 0.500 0.000
Ca 0.500 0.000 0.000
Pr 0.500 0.500 0.500
H 0.000 0.000 0.000

Calculated values
Its total DFT energy (no corrections) is -14.26 eV for the cell shown. For the density of states at the Fermi level, the calculation gives 5.57 states/eV/cell.


(9)
Below is a relaxed structure of CaPrH8Pt2, with properties calculated at the PBE-GGA level.

a b c (Å): 7.038 7.038 7.038
angles (deg): 40.06 40.06 40.06
Atoms (fractional coordinates):
Ca 0.000 0.000 0.000
Pr 0.500 0.500 0.500
H 0.100 0.536 0.536
H 0.157 0.157 0.157
H 0.464 0.464 0.900
H 0.464 0.900 0.464
H 0.536 0.100 0.536
H 0.536 0.536 0.100
H 0.843 0.843 0.843
H 0.900 0.464 0.464
Pt 0.243 0.243 0.243
Pt 0.757 0.757 0.757

Calculated values
Its total DFT energy (no corrections) is -49.05 eV for the cell shown. For the density of states at the Fermi level, the calculation gives 4.42 states/eV/cell.


(10)
Below is a relaxed structure of CaPrH6Rh2, with properties calculated at the PBE-GGA level.

a b c (Å): 5.963 5.963 5.963
angles (deg): 48.70 48.70 48.70
Atoms (fractional coordinates):
Ca 0.000 0.000 0.000
Pr 0.500 0.500 0.500
H 0.074 0.074 0.529
H 0.074 0.529 0.074
H 0.471 0.926 0.926
H 0.529 0.074 0.074
H 0.926 0.471 0.926
H 0.926 0.926 0.471
Rh 0.291 0.291 0.291
Rh 0.709 0.709 0.709

Calculated values
Its total DFT energy (no corrections) is -45.29 eV for the cell shown. For the density of states at the Fermi level, the calculation gives 3.49 states/eV/cell.


(11)
Below is a relaxed structure of Ca2PrH6Ru, with properties calculated at the PBE-GGA level.

a b c (Å): 5.058 5.058 6.300
angles (deg): 90.00 90.00 120.00
Atoms (fractional coordinates):
Ca 0.333 0.667 0.155
Ca 0.667 0.333 0.845
Pr 0.000 0.000 0.500
H 0.159 0.318 0.835
H 0.159 0.841 0.835
H 0.318 0.159 0.165
H 0.682 0.841 0.835
H 0.841 0.159 0.165
H 0.841 0.682 0.165
Ru 0.000 0.000 0.000

Calculated values
Its total DFT energy (no corrections) is -42.68 eV for the cell shown. For the density of states at the Fermi level, the calculation gives 3.85 states/eV/cell.


(12)
Below is a relaxed structure of Ca4Pr2Sb3H2, with properties calculated at the PBE-GGA level.

a b c (Å): 13.069 13.069 13.069
angles (deg): 159.06 159.06 29.79
Atoms (fractional coordinates):
Ca 0.082 0.582 0.500
Ca 0.418 0.918 0.500
Ca 0.582 0.082 0.500
Ca 0.918 0.418 0.500
Pr 0.200 0.200 0.000
Pr 0.800 0.800 0.000
Sb 0.328 0.328 0.000
Sb 0.500 0.500 0.000
Sb 0.672 0.672 0.000
H 0.100 0.100 0.000
H 0.900 0.900 0.000

Calculated values
Its total DFT energy (no corrections) is -45.89 eV for the cell shown. For the density of states at the Fermi level, the calculation gives 3.04 states/eV/cell.


(13)
Below is a relaxed structure of Ca2Pr4Sb3H2, with properties calculated at the PBE-GGA level.

a b c (Å): 13.236 13.236 13.236
angles (deg): 158.79 158.79 30.17
Atoms (fractional coordinates):
Ca 0.200 0.200 0.000
Ca 0.800 0.800 0.000
Pr 0.083 0.583 0.500
Pr 0.417 0.917 0.500
Pr 0.583 0.083 0.500
Pr 0.917 0.417 0.500
Sb 0.324 0.324 0.000
Sb 0.500 0.500 0.000
Sb 0.676 0.676 0.000
H 0.103 0.103 0.000
H 0.897 0.897 0.000

Calculated values
Its total DFT energy (no corrections) is -50.80 eV for the cell shown. For the density of states at the Fermi level, the calculation gives 7.17 states/eV/cell.


(14)
Below is a relaxed structure of Ca2Pr4Sn3H2, with properties calculated at the PBE-GGA level.

a b c (Å): 13.305 13.305 13.305
angles (deg): 158.69 158.69 30.32
Atoms (fractional coordinates):
Ca 0.201 0.201 0.000
Ca 0.799 0.799 0.000
Pr 0.085 0.585 0.500
Pr 0.415 0.915 0.500
Pr 0.585 0.085 0.500
Pr 0.915 0.415 0.500
Sn 0.328 0.328 0.000
Sn 0.500 0.500 0.000
Sn 0.672 0.672 0.000
H 0.101 0.101 0.000
H 0.899 0.899 0.000

Calculated values
Its total DFT energy (no corrections) is -47.99 eV for the cell shown. For the density of states at the Fermi level, the calculation gives 6.22 states/eV/cell.


(15)
Below is a relaxed structure of Ca4Pr2Sn3H2, with properties calculated at the PBE-GGA level.

a b c (Å): 13.323 13.323 13.323
angles (deg): 159.35 159.35 29.37
Atoms (fractional coordinates):
Ca 0.081 0.581 0.500
Ca 0.419 0.919 0.500
Ca 0.581 0.081 0.500
Ca 0.919 0.419 0.500
Pr 0.198 0.198 0.000
Pr 0.802 0.802 0.000
Sn 0.325 0.325 0.000
Sn 0.500 0.500 0.000
Sn 0.675 0.675 0.000
H 0.101 0.101 0.000
H 0.899 0.899 0.000

Calculated values
Its total DFT energy (no corrections) is -43.07 eV for the cell shown. For the density of states at the Fermi level, the calculation gives 4.24 states/eV/cell.


(16)
Below is a relaxed structure of Ca2H2Pt, with properties calculated at the PBE-GGA level.

a b c (Å): 5.046 5.046 7.188
angles (deg): 90.00 90.00 90.00
Atoms (fractional coordinates):
Ca 0.000 0.500 0.250
Ca 0.000 0.500 0.750
Ca 0.500 0.000 0.250
Ca 0.500 0.000 0.750
H 0.000 0.000 0.233
H 0.000 0.000 0.767
H 0.500 0.500 0.267
H 0.500 0.500 0.733
Pt 0.000 0.000 0.000
Pt 0.500 0.500 0.500

Calculated values
As for the offset from the most stable computed form: 0.0 meV per atom. Its total DFT energy (no corrections) is -39.97 eV for the cell shown. For the density of states at the Fermi level, the calculation gives 3.28 states/eV/cell.


(17)
Below is a relaxed structure of Ca2H5Pt2, with properties calculated at the PBE-GGA level.

a b c (Å): 8.311 8.311 8.311
angles (deg): 143.53 52.55 143.50
Atoms (fractional coordinates):
Ca 0.131 0.001 0.130
Ca 0.372 0.001 0.370
Ca 0.628 0.999 0.630
Ca 0.869 0.999 0.870
H 0.000 0.000 0.500
H 0.000 0.500 0.000
H 0.147 0.516 0.631
H 0.249 0.000 0.749
H 0.249 0.500 0.249
H 0.386 0.516 0.869
H 0.614 0.484 0.131
H 0.751 0.000 0.251
H 0.751 0.500 0.751
H 0.853 0.484 0.369
Pt 0.000 0.500 0.500
Pt 0.263 0.513 0.750
Pt 0.500 0.500 0.000
Pt 0.737 0.487 0.250

Calculated values
Its total DFT energy (no corrections) is -76.56 eV for the cell shown. For the density of states at the Fermi level, the calculation gives 3.56 states/eV/cell.


(18)
Below is a relaxed structure of Ca2H3Pt2, with properties calculated at the PBE-GGA level.

a b c (Å): 6.230 6.230 6.230
angles (deg): 109.47 109.47 109.47
Atoms (fractional coordinates):
Ca 0.000 0.002 0.500
Ca 0.002 0.500 0.000
Ca 0.498 0.498 0.498
Ca 0.500 0.000 0.002
H 0.239 0.989 0.250
H 0.250 0.239 0.989
H 0.261 0.511 0.750
H 0.511 0.750 0.261
H 0.750 0.261 0.511
H 0.989 0.250 0.239
Pt 0.000 0.518 0.500
Pt 0.500 0.000 0.518
Pt 0.518 0.500 0.000
Pt 0.982 0.982 0.982

Calculated values
Its total DFT energy (no corrections) is -61.26 eV for the cell shown. For the density of states at the Fermi level, the calculation gives 7.57 states/eV/cell.


(19)
Below is a relaxed structure of Ca2H2Pt, with properties calculated at the PBE-GGA level.

a b c (Å): 3.627 3.627 12.326
angles (deg): 90.00 90.00 90.00
Atoms (fractional coordinates):
Ca 0.000 0.000 0.142
Ca 0.000 0.000 0.858
Ca 0.500 0.500 0.358
Ca 0.500 0.500 0.642
H 0.000 0.500 0.250
H 0.000 0.500 0.750
H 0.500 0.000 0.250
H 0.500 0.000 0.750
Pt 0.000 0.000 0.500
Pt 0.500 0.500 0.000

Calculated values
As for the offset from the most stable computed form: 16.1 meV per atom. Its total DFT energy (no corrections) is -39.81 eV for the cell shown. For the density of states at the Fermi level, the calculation gives 0.23 states/eV/cell.


(20)
Below is a relaxed structure of CaHPt, with properties calculated at the PBE-GGA level.

a b c (Å): 9.839 6.105 5.470
angles (deg): 90.00 123.66 90.00
Atoms (fractional coordinates):
Ca 0.250 0.000 0.250
Ca 0.250 0.500 0.750
Ca 0.750 0.000 0.750
Ca 0.750 0.500 0.250
H 0.000 0.069 0.500
H 0.000 0.429 0.000
H 0.500 0.569 0.500
H 0.500 0.929 0.000
Pt 0.000 0.249 0.250
Pt 0.000 0.249 0.750
Pt 0.500 0.749 0.250
Pt 0.500 0.749 0.750

Calculated values
As for the offset from the most stable computed form: 227.3 meV per atom. Its total DFT energy (no corrections) is -51.40 eV for the cell shown. For the density of states at the Fermi level, the calculation gives 2.86 states/eV/cell.


(21)
Below is a relaxed structure of CaH6Pt, with properties calculated at the PBE-GGA level.

a b c (Å): 4.793 4.793 4.793
angles (deg): 57.27 57.27 57.27
Atoms (fractional coordinates):
Ca 0.000 0.000 0.000
H 0.080 0.595 0.595
H 0.405 0.405 0.920
H 0.405 0.920 0.405
H 0.595 0.080 0.595
H 0.595 0.595 0.080
H 0.920 0.405 0.405
Pt 0.500 0.500 0.500

Calculated values
Its total DFT energy (no corrections) is -31.36 eV for the cell shown. For the density of states at the Fermi level, the calculation gives 0.00 states/eV/cell.


(22)
Below is a relaxed structure of CaHPt2, with properties calculated at the PBE-GGA level.

a b c (Å): 2.971 2.971 23.781
angles (deg): 90.00 90.00 120.00
Atoms (fractional coordinates):
Ca 0.000 0.000 0.000
Ca 0.333 0.667 0.667
Ca 0.667 0.333 0.333
H 0.000 0.000 0.500
H 0.333 0.667 0.167
H 0.667 0.333 0.833
Pt 0.000 0.000 0.115
Pt 0.000 0.000 0.885
Pt 0.333 0.667 0.552
Pt 0.333 0.667 0.781
Pt 0.667 0.333 0.219
Pt 0.667 0.333 0.448

Calculated values
As for the offset from the most stable computed form: 840.1 meV per atom. Its total DFT energy (no corrections) is -48.81 eV for the cell shown. For the density of states at the Fermi level, the calculation gives 7.47 states/eV/cell.


(23)
Below is a relaxed structure of CaH5Pt, with properties calculated at the PBE-GGA level.

a b c (Å): 8.053 4.897 3.801
angles (deg): 90.00 118.00 90.00
Atoms (fractional coordinates):
Ca 0.000 0.000 0.000
Ca 0.500 0.500 0.000
H 0.000 0.500 0.000
H 0.162 0.258 0.661
H 0.162 0.742 0.661
H 0.338 0.242 0.339
H 0.338 0.758 0.339
H 0.500 0.000 0.000
H 0.662 0.242 0.661
H 0.662 0.758 0.661
H 0.838 0.258 0.339
H 0.838 0.742 0.339
Pt 0.000 0.500 0.500
Pt 0.500 0.000 0.500

Calculated values
Its total DFT energy (no corrections) is -55.94 eV for the cell shown. For the density of states at the Fermi level, the calculation gives 0.81 states/eV/cell.